Record 1
A relaxed structure of CeIrI. Source: Alexandria, functional PBE.

Results
Uncorrected energy   -6.289 eV/atom
Excess energy over the best structure of this formula in the dataset   159 meV per atom
ΔE_f (raw)   -840 meV/atom

```
data_CeIrI
_symmetry_space_group_name_H-M 'P 1'
_symmetry_Int_Tables_number 1
_cell_length_a 4.161
_cell_length_b 4.162
_cell_length_c 12.652
_cell_angle_alpha 80.69
_cell_angle_beta 80.73
_cell_angle_gamma 60.31
loop_
_symmetry_equiv_pos_as_xyz
'x,y,z'
loop_
_atom_site_label
_atom_site_type_symbol
_atom_site_fract_x
_atom_site_fract_y
_atom_site_fract_z
Ce1 Ce 0.000 0.000 0.000
Ce2 Ce 0.456 0.459 0.666
Ir1 Ir 0.090 0.093 0.771
Ir2 Ir 0.719 0.721 0.873
I1 I 0.277 0.276 0.176
I2 I 0.848 0.852 0.489
```



Record 2
A relaxed structure of Ce2IrI. Source: Alexandria, functional PBE.

Results
Uncorrected energy   -6.491 eV/atom
Excess energy over the best structure of this formula in the dataset   0 meV per atom
ΔE_f (raw)   -922 meV/atom

```
data_Ce2IrI
_symmetry_space_group_name_H-M 'R -3 m'
_symmetry_Int_Tables_number 166
_symmetry_space_group_name_Hall '-R 3 2"'
_cell_length_a 4.1710
_cell_length_b 4.1710
_cell_length_c 23.8960
_cell_angle_alpha 90.00
_cell_angle_beta 90.00
_cell_angle_gamma 120.00
loop_
_atom_site_label
_atom_site_type_symbol
_atom_site_fract_x
_atom_site_fract_y
_atom_site_fract_z
Ce1 Ce 0.0000 0.0000 0.2284
Ir1 Ir 0.0000 0.0000 0.5000
I1 I 0.0000 0.0000 0.0000
```



Record 3
A relaxed structure of Ce2IrI. Source: Alexandria, functional PBE.

Results
Uncorrected energy   -6.472 eV/atom
Excess energy over the best structure of this formula in the dataset   19 meV per atom
ΔE_f (raw)   -902 meV/atom

```
data_Ce2IrI
_symmetry_space_group_name_H-M 'R 3 m'
_symmetry_Int_Tables_number 160
_symmetry_space_group_name_Hall 'R 3 -2"'
_cell_length_a 4.1383
_cell_length_b 4.1383
_cell_length_c 24.3011
_cell_angle_alpha 90.00
_cell_angle_beta 90.00
_cell_angle_gamma 120.00
loop_
_atom_site_label
_atom_site_type_symbol
_atom_site_fract_x
_atom_site_fract_y
_atom_site_fract_z
Ce1 Ce 0.0000 0.0000 0.0000
Ce2 Ce 0.0000 0.0000 0.2098
Ir1 Ir 0.0000 0.0000 0.6055
I1 I 0.0000 0.0000 0.4368
```



Record 4
A relaxed structure of Ce4IrI5. Source: Alexandria, functional PBE.

Results
Uncorrected energy   -5.155 eV/atom
ΔE_f (raw)   -1120 meV/atom

```
data_Ce4IrI5
_symmetry_space_group_name_H-M 'C 1 2/m 1'
_symmetry_Int_Tables_number 12
_cell_length_a 19.605
_cell_length_b 4.194
_cell_length_c 9.141
_cell_angle_alpha 90.00
_cell_angle_beta 102.96
_cell_angle_gamma 90.00
loop_
_symmetry_equiv_pos_as_xyz
'x,y,z'
'-x,-y,-z'
'-x,y,-z'
'x,-y,z'
'x+1/2,y+1/2,z'
'-x+1/2,-y+1/2,-z'
'-x+1/2,y+1/2,-z'
'x+1/2,-y+1/2,z'
loop_
_atom_site_label
_atom_site_type_symbol
_atom_site_fract_x
_atom_site_fract_y
_atom_site_fract_z
Ce1 Ce 0.001 0.000 0.296
Ce2 Ce 0.150 0.500 0.576
Ir1 Ir 0.000 0.500 0.500
I1 I 0.000 0.500 0.000
I2 I 0.167 0.000 0.849
I3 I 0.173 0.000 0.318
```



Record 5
A relaxed structure of Ce2IrI. Source: Alexandria, functional PBE.

Results
Uncorrected energy   -6.351 eV/atom
Excess energy over the best structure of this formula in the dataset   141 meV per atom
ΔE_f (raw)   -781 meV/atom

```
data_Ce2IrI
_symmetry_space_group_name_H-M 'P m n 21'
_symmetry_Int_Tables_number 31
_cell_length_a 4.046
_cell_length_b 15.152
_cell_length_c 4.045
_cell_angle_alpha 90.00
_cell_angle_beta 90.00
_cell_angle_gamma 90.00
loop_
_symmetry_equiv_pos_as_xyz
'x,y,z'
'-x+1/2,-y,z+1/2'
'-x,y,z'
'x+1/2,-y,z+1/2'
loop_
_atom_site_label
_atom_site_type_symbol
_atom_site_fract_x
_atom_site_fract_y
_atom_site_fract_z
Ce1 Ce 0.000 0.089 0.000
Ce2 Ce 0.000 0.718 0.985
Ir1 Ir 0.000 0.898 0.002
I1 I 0.000 0.389 0.987
```



Record 6
A relaxed structure of LaCeIrI. Source: Alexandria, functional PBE.

Results
Uncorrected energy   -6.306 eV/atom
ΔE_f (raw)   -988 meV/atom

```
data_LaCeIrI
_symmetry_space_group_name_H-M 'R 3 m'
_symmetry_Int_Tables_number 160
_symmetry_space_group_name_Hall 'R 3 -2"'
_cell_length_a 4.1922
_cell_length_b 4.1922
_cell_length_c 24.7450
_cell_angle_alpha 90.00
_cell_angle_beta 90.00
_cell_angle_gamma 120.00
loop_
_atom_site_label
_atom_site_type_symbol
_atom_site_fract_x
_atom_site_fract_y
_atom_site_fract_z
La1 La 0.0000 0.0000 0.0000
Ce1 Ce 0.0000 0.0000 0.7893
Ir1 Ir 0.0000 0.0000 0.3983
I1 I 0.0000 0.0000 0.2253
```